ZrCrTe2N after structural relaxation, computed with GGA-PBE.

Output
E: -31.5 eV per formula unit
Volume: 132.9 Å³ per cell
ΔE_f (raw): 263 meV/atom
ΔE to the lowest computed polymorph: 280 meV per atom
Symmetry: No. 123

Cell: 5.772 5.772 3.987 Å, 90.00 90.00 90.00°
Fractional coordinates of all 5 atoms:
N (0.000, 0.000, 0.500)
Cr (0.500, 0.500, 0.500)
Te (0.500, 0.000, 0.000)
Te (0.000, 0.500, 0.000)
Zr (0.000, 0.000, 0.000)

---

Na8Pb3 after structural relaxation, computed with GGA-PBE.

Output
E: -23.2 eV per formula unit
Volume: 323.7 Å³ per cell
Formation enthalpy at 0 K: -0.137 eV/atom
Symmetry: No. 12

Cell: 5.216 6.016 11.807 Å, 102.75 90.00 115.69°
Fractional coordinates of all 11 atoms:
Na (0.549, 0.098, 0.817)
Na (0.629, 0.257, 0.458)
Na (0.177, 0.353, 0.278)
Na (0.823, 0.647, 0.722)
Na (0.371, 0.743, 0.542)
Na (0.451, 0.902, 0.183)
Na (0.726, 0.452, 0.091)
Na (0.274, 0.548, 0.909)
Pb (0.000, 0.000, 0.000)
Pb (0.907, 0.813, 0.370)
Pb (0.093, 0.187, 0.630)

---

LiPrHoEr after structural relaxation, computed with GGA-PBE.

Output
E: -15.2 eV per formula unit
Volume: 119.4 Å³ per cell
Formation enthalpy at 0 K: 0.165 eV/atom
Symmetry: No. 216

Cell: 5.527 5.527 5.527 Å, 60.00 60.00 60.00°
Fractional coordinates of all 4 atoms:
Ho (0.250, 0.250, 0.250)
Pr (0.750, 0.750, 0.750)
Li (0.000, 0.000, 0.000)
Er (0.500, 0.500, 0.500)

---

CdCoRh2 after structural relaxation, computed with GGA-PBE.

Output
E: -22.3 eV per formula unit
Volume: 59.3 Å³ per cell
ΔE to the lowest computed polymorph: 85 meV per atom
Formation enthalpy at 0 K: 0.113 eV/atom
Symmetry: No. 12

Cell: 4.741 4.741 4.812 Å, 78.95 78.95 34.02°
Fractional coordinates of all 4 atoms:
Co (0.250, 0.250, 0.250)
Rh (0.990, 0.990, 0.020)
Rh (0.510, 0.510, 0.480)
Cd (0.750, 0.750, 0.750)

---

Ac12Zn6Rh after structural relaxation, computed with GGA-PBE.

Output
E: -65.4 eV per formula unit
Volume: 725.0 Å³ per cell
Formation enthalpy at 0 K: -0.056 eV/atom
Symmetry: No. 148

Cell: 9.105 9.105 9.105 Å, 98.79 98.79 98.79°
Fractional coordinates of all 19 atoms:
Ac (0.187, 0.423, 0.564)
Ac (0.974, 0.318, 0.075)
Ac (0.075, 0.974, 0.318)
Ac (0.564, 0.187, 0.423)
Ac (0.577, 0.436, 0.813)
Ac (0.925, 0.026, 0.682)
Ac (0.318, 0.075, 0.974)
Ac (0.682, 0.925, 0.026)
Ac (0.436, 0.813, 0.577)
Ac (0.026, 0.682, 0.925)
Ac (0.423, 0.564, 0.187)
Ac (0.813, 0.577, 0.436)
Zn (0.132, 0.635, 0.305)
Zn (0.635, 0.305, 0.132)
Zn (0.868, 0.365, 0.695)
Zn (0.305, 0.132, 0.635)
Zn (0.365, 0.695, 0.868)
Zn (0.695, 0.868, 0.365)
Rh (0.000, 0.000, 0.000)

---

ZnTc2Se after structural relaxation, computed with GGA-PBE.

Output
E: -24.0 eV per formula unit
Volume: 61.0 Å³ per cell
ΔE_f (raw): 380 meV/atom
ΔE to the lowest computed polymorph: 330 meV per atom
Symmetry: No. 216

Cell: 4.420 4.420 4.420 Å, 60.00 60.00 60.00°
Fractional coordinates of all 4 atoms:
Zn (0.750, 0.750, 0.750)
Tc (0.250, 0.250, 0.250)
Tc (0.000, 0.000, 0.000)
Se (0.500, 0.500, 0.500)

---

AcLaPa after structural relaxation, computed with GGA-PBE.

Output
E: -16.8 eV per formula unit
Volume: 208.4 Å³ per cell
Formation enthalpy at 0 K: 0.575 eV/atom
Symmetry: No. 71

Cell: 6.788 3.373 9.858 Å, 99.85 110.14 90.00°
Fractional coordinates of all 6 atoms:
Pa (0.349, 0.849, 0.698)
Pa (0.651, 0.151, 0.302)
Ac (0.746, 0.500, 0.000)
Ac (0.254, 0.500, 0.000)
La (0.819, 0.319, 0.639)
La (0.181, 0.681, 0.361)

---

Li5Zn3Cu3 after structural relaxation, computed with GGA-PBE.

Output
E: -25.7 eV per formula unit
Volume: 174.4 Å³ per cell
Formation enthalpy at 0 K: -0.002 eV/atom
Symmetry: No. 189

Cell: 2.542 8.902 8.902 Å, 120.00 90.00 90.00°
Fractional coordinates of all 11 atoms:
Li (0.500, 0.667, 0.333)
Li (0.500, 0.000, 0.308)
Li (0.500, 0.308, 0.000)
Li (0.500, 0.333, 0.667)
Li (0.500, 0.692, 0.692)
Cu (0.000, 0.158, 0.158)
Cu (0.000, 0.000, 0.842)
Cu (0.000, 0.842, 0.000)
Zn (0.500, 0.603, 0.000)
Zn (0.500, 0.000, 0.603)
Zn (0.500, 0.397, 0.397)

---

SrHf2AgBr after structural relaxation, computed with GGA-PBE.

Output
E: -23.1 eV per formula unit
Volume: 169.0 Å³ per cell
ΔE_f (raw): 602 meV/atom
Symmetry: No. 123

Cell: 5.151 6.367 5.151 Å, 90.00 90.00 90.00°
Fractional coordinates of all 5 atoms:
Sr (0.000, 0.500, 0.000)
Br (0.500, 0.500, 0.500)
Hf (0.500, 0.000, 0.000)
Hf (0.000, 0.000, 0.500)
Ag (0.000, 0.000, 0.000)

---

Mg2CuAg5 after structural relaxation, computed with GGA-PBE.

Output
E: -22.5 eV per formula unit
Volume: 278.1 Å³ per cell
Formation enthalpy at 0 K: -0.117 eV/atom
Symmetry: No. 55

Cell: 4.058 5.858 11.700 Å, 90.00 90.00 90.00°
Fractional coordinates of all 16 atoms:
Mg (0.500, 0.256, 0.624)
Mg (0.500, 0.744, 0.376)
Mg (0.500, 0.756, 0.876)
Mg (0.500, 0.244, 0.124)
Cu (0.000, 0.000, 0.500)
Cu (0.000, 0.500, 0.000)
Ag (0.500, 0.266, 0.881)
Ag (0.500, 0.766, 0.619)
Ag (0.000, 0.488, 0.246)
Ag (0.000, 0.012, 0.746)
Ag (0.000, 0.000, 0.000)
Ag (0.000, 0.988, 0.254)
Ag (0.000, 0.512, 0.754)
Ag (0.500, 0.734, 0.119)
Ag (0.000, 0.500, 0.500)
Ag (0.500, 0.234, 0.381)

---

SmDy2ErBi5 after structural relaxation, computed with GGA-PBE.

Output
E: -36.9 eV per formula unit
Volume: 358.8 Å³ per cell
Formation enthalpy at 0 K: 0.111 eV/atom
Symmetry: No. 123

Cell: 5.506 5.506 11.836 Å, 90.00 90.00 90.00°
Fractional coordinates of all 9 atoms:
Dy (0.500, 0.500, 0.729)
Dy (0.500, 0.500, 0.271)
Bi (0.000, 0.500, 0.500)
Bi (0.000, 0.000, 0.243)
Bi (0.000, 0.000, 0.757)
Bi (0.500, 0.500, 0.000)
Bi (0.500, 0.000, 0.500)
Er (0.000, 0.000, 0.000)
Sm (0.000, 0.000, 0.500)

---

Tb2Cd3Hg3 after structural relaxation, computed with GGA-PBE.

Output
E: -15.7 eV per formula unit
Volume: 187.6 Å³ per cell
Formation enthalpy at 0 K: -0.352 eV/atom
Symmetry: No. 160

Cell: 5.097 5.097 8.843 Å, 73.25 73.25 60.00°
Fractional coordinates of all 8 atoms:
Hg (0.373, 0.373, 0.880)
Hg (0.877, 0.877, 0.369)
Hg (0.126, 0.126, 0.622)
Cd (0.251, 0.251, 0.248)
Cd (0.749, 0.749, 0.752)
Cd (0.624, 0.624, 0.128)
Tb (0.002, 0.002, 0.993)
Tb (0.498, 0.498, 0.507)